Density functional theory data (PBE-GGA) for crystalline AcZnBi3 at its relaxed geometry.

Calculated values
E_form = -0.107 eV per atom

Cell: 5.4789 5.4789 5.4789 Å, 90.00 90.00 90.00°
Space group Pm-3m (No. 221)
Symmetry-distinct sites (fractional):
Ac 0.0000 0.0000 0.0000
Zn 0.5000 0.5000 0.5000
Bi 0.0000 0.5000 0.5000

---

Density functional theory data (PBE-GGA) for crystalline Mg2Zr2Pd5 at its relaxed geometry.

Calculated values
E_form = -0.423 eV per atom

Cell: 15.2639 7.6197 5.7275 Å, 90.00 90.00 90.00°
Space group Ima2 (No. 46)
Symmetry-distinct sites (fractional):
Mg 0.0851 0.0648 0.0000
Zr 0.0000 0.0000 0.4848
Zr 0.2500 0.6038 0.8997
Pd 0.0932 0.7448 0.2183
Pd 0.1577 0.1506 0.6028
Pd 0.2500 0.5499 0.4319

---

Density functional theory data (PBE-GGA) for crystalline CaTcAg4 at its relaxed geometry.

Calculated values
E_form = 0.334 eV per atom

Cell: 7.8468 7.8468 7.8468 Å, 90.00 90.00 90.00°
Space group F-43m (No. 216)
Symmetry-distinct sites (fractional):
Ca 0.0000 0.0000 0.0000
Tc 0.2500 0.2500 0.7500
Ag 0.1247 0.1247 0.3753

---

Density functional theory data (PBE-GGA) for crystalline LiCeAgSn2 at its relaxed geometry.

Calculated values
E_form = -0.425 eV per atom

Cell: 4.4268 4.4268 12.2172 Å, 90.00 90.00 90.00°
Space group I-4m2 (No. 119)
Symmetry-distinct sites (fractional):
Li 0.0000 0.0000 0.0000
Ce 0.0000 0.5000 0.7500
Ag 0.0000 0.0000 0.5000
Sn 0.0000 0.5000 0.1356

---

Density functional theory data (PBE-GGA) for crystalline Sm7Dy2Ho3 at its relaxed geometry.

Calculated values
E_form = 0.072 eV per atom
ΔE to the lowest computed polymorph = 0.0 kJ/mol of atoms

Cell: 6.3964 3.5451 17.4979 Å, 90.00 96.00 90.00°
Space group P2/m (No. 10)
Symmetry-distinct sites (fractional):
Sm 0.0000 0.0000 0.0000
Sm 0.2247 0.5000 0.1703
Sm 0.2569 0.5000 0.4965
Sm 0.2752 0.0000 0.8334
Dy 0.0593 0.5000 0.6709
Ho 0.4523 0.0000 0.3410
Ho 0.5000 0.5000 0.0000

---

Density functional theory data (PBE-GGA) for crystalline Er2CoTe at its relaxed geometry.

Cell: 3.9822 3.9822 21.5006 Å, 90.00 90.00 120.00°
Space group R-3m (No. 166, hexagonal axes)
Symmetry-distinct sites (fractional):
Er 0.0000 0.0000 0.2350
Co 0.0000 0.0000 0.5000
Te 0.0000 0.0000 0.0000

---

Density functional theory data (PBE-GGA) for crystalline GaAsSN2 at its relaxed geometry.

Calculated values
ΔE to the lowest computed polymorph = 23.9 kJ/mol of atoms

Cell: 3.8950 3.8950 4.9993 Å, 90.00 90.00 90.00°
Space group P4/mmm (No. 123)
Symmetry-distinct sites (fractional):
Ga 0.0000 0.0000 0.0000
As 0.5000 0.5000 0.5000
S 0.0000 0.0000 0.5000
N 0.0000 0.5000 0.0000

---

Density functional theory data (PBE-GGA) for crystalline RbTlPt at its relaxed geometry.

Calculated values
E_form = -0.091 eV per atom
ΔE to the lowest computed polymorph = 7.7 kJ/mol of atoms

Cell: 4.7022 4.7022 5.3540 Å, 90.00 90.00 120.00°
Space group P-6m2 (No. 187)
Symmetry-distinct sites (fractional):
Rb 0.0000 0.0000 0.0000
Tl 0.6667 0.3333 0.5000
Pt 0.3333 0.6667 0.5000

---

Density functional theory data (PBE-GGA) for crystalline Li2In3 at its relaxed geometry.

Calculated values
E_form = -0.134 eV per atom
ΔE to the lowest computed polymorph = 7.1 kJ/mol of atoms

Cell: 3.3590 3.3590 34.9472 Å, 90.00 90.00 120.00°
Space group R-3m (No. 166, hexagonal axes)
Symmetry-distinct sites (fractional):
Li 0.0000 0.0000 0.1014
In 0.0000 0.0000 0.2974
In 0.0000 0.0000 0.5000

---

Density functional theory data (PBE-GGA) for crystalline Mg6NiPd2 at its relaxed geometry.

Calculated values
E_form = -0.263 eV per atom

Cell: 13.9787 6.2164 4.4636 Å, 90.00 108.42 90.00°
Space group C2/m (No. 12)
Symmetry-distinct sites (fractional):
Mg 0.0000 0.2423 0.0000
Mg 0.1638 0.2474 0.6639
Ni 0.0000 0.0000 0.5000
Pd 0.1663 0.5000 0.1665

---

Density functional theory data (PBE-GGA) for crystalline KRbTc3 at its relaxed geometry.

Calculated values
E_form = 3.158 eV per atom
ΔE to the lowest computed polymorph = 7.0 kJ/mol of atoms

Cell: 5.2217 5.2217 5.2217 Å, 90.00 90.00 90.00°
Space group Pm-3m (No. 221)
Symmetry-distinct sites (fractional):
K 0.0000 0.0000 0.0000
Rb 0.5000 0.5000 0.5000
Tc 0.0000 0.5000 0.5000

---

Density functional theory data (PBE-GGA) for crystalline CaRuW3 at its relaxed geometry.

Calculated values
E_form = 3.300 eV per atom

Cell: 4.5093 4.5093 4.5093 Å, 90.00 90.00 90.00°
Space group Pm-3m (No. 221)
Symmetry-distinct sites (fractional):
Ca 0.0000 0.0000 0.0000
Ru 0.5000 0.5000 0.5000
W 0.0000 0.0000 0.5000

---

| no. | DOS at the Fermi energy (states/eV/f.u.) | final energy (eV per atom) |
| --- | --- | --- |
| 1 | 3.87 | -3.51 |
| 2 | 4.78 | -5.56 |
| 3 | 4.75 | -3.63 |
| 4 | 7.15 | -4.17 |
| 5 | 17.73 | -4.59 |
| 6 | 2.75 | -5.44 |
| 7 | 2.22 | -4.40 |
| 8 | 1.16 | -3.22 |
| 9 | 3.90 | -2.54 |
| 10 | 4.15 | -3.12 |
| 11 | 3.93 | -3.47 |
| 12 | 9.57 | -6.73 |